# 1
A geometry-optimized Pm2AuCl2 structure. Source: Alexandria via LeMat-Bulk, functional PBE-GGA.

CIF file:
```
data_Pm2AuCl2
_chemical_formula_sum 'Pm6 Au3 Cl6'
_cell_length_a 4.0733
_cell_length_b 4.0733
_cell_length_c 31.7967
_cell_angle_alpha 90.00
_cell_angle_beta 90.00
_cell_angle_gamma 120.00
_symmetry_space_group_name_H-M 'R -3 m'
_symmetry_Int_Tables_number 166
_symmetry_space_group_name_Hall '-R 3 2"'
loop_
_atom_site_label
_atom_site_type_symbol
_atom_site_fract_x
_atom_site_fract_y
_atom_site_fract_z
_atom_site_occupancy
Pm1 Pm 0.0000 0.0000 0.1078 1
Au1 Au 0.0000 0.0000 0.5000 1
Cl1 Cl 0.0000 0.0000 0.2787 1
```

Fermi-level density of states	0.710	states/eV/atom
formation energy from raw total energies	-1.50	eV/atom

# 2
A geometry-optimized Pm4RhAuCl2 structure. Source: Alexandria via LeMat-Bulk, functional PBE-GGA.

CIF file:
```
data_Pm4RhAuCl2
_chemical_formula_sum 'Pm4 Rh1 Au1 Cl2'
_cell_length_a 7.312
_cell_length_b 4.108
_cell_length_c 7.817
_cell_angle_alpha 90.00
_cell_angle_beta 109.02
_cell_angle_gamma 90.00
_symmetry_space_group_name_H-M 'P 1 2/m 1'
_symmetry_Int_Tables_number 10
loop_
_symmetry_equiv_pos_as_xyz
'x,y,z'
'-x,-y,-z'
'-x,y,-z'
'x,-y,z'
loop_
_atom_site_label
_atom_site_type_symbol
_atom_site_fract_x
_atom_site_fract_y
_atom_site_fract_z
_atom_site_occupancy
Pm1 Pm 0.235 0.000 0.284 1
Pm2 Pm 0.236 0.500 0.711 1
Rh1 Rh 0.000 0.000 0.500 1
Au1 Au 0.500 0.500 0.500 1
Cl1 Cl 0.000 0.500 0.000 1
Cl2 Cl 0.500 0.000 0.000 1
```

Fermi-level density of states	0.853	states/eV/atom
formation energy from raw total energies	-1.12	eV/atom

# 3
A geometry-optimized Pm3RhAuCl structure. Source: Alexandria via LeMat-Bulk, functional PBE-GGA.

CIF file:
```
data_Pm3RhAuCl
_chemical_formula_sum 'Pm6 Rh2 Au2 Cl2'
_cell_length_a 8.152
_cell_length_b 4.234
_cell_length_c 9.438
_cell_angle_alpha 90.00
_cell_angle_beta 101.46
_cell_angle_gamma 90.00
_symmetry_space_group_name_H-M 'P 1 21/m 1'
_symmetry_Int_Tables_number 11
loop_
_symmetry_equiv_pos_as_xyz
'x,y,z'
'-x,-y,-z'
'-x,y+1/2,-z'
'x,-y+1/2,z'
loop_
_atom_site_label
_atom_site_type_symbol
_atom_site_fract_x
_atom_site_fract_y
_atom_site_fract_z
_atom_site_occupancy
Pm1 Pm 0.068 0.250 0.342 1
Pm2 Pm 0.206 0.250 0.968 1
Pm3 Pm 0.388 0.750 0.615 1
Rh1 Rh 0.164 0.250 0.645 1
Au1 Au 0.294 0.750 0.253 1
Cl1 Cl 0.406 0.750 0.906 1
```

Fermi-level density of states	0.589	states/eV/atom
formation energy from raw total energies	-0.87	eV/atom